(1)
A relaxed Er4Tm2Th3 crystal, computed with GGA-PBE.

POSCAR file:
```
Er4Tm2Th3
1.0
3.535 0.000 0.000
-1.767 3.061 0.000
0.000 0.000 26.206
Er Tm Th
4 2 3
direct
0.000 0.000 0.000 Er
0.000 0.000 0.220 Er
0.333 0.667 0.327 Er
0.333 0.667 0.549 Er
0.000 0.000 0.655 Tm
0.000 0.000 0.875 Tm
0.000 0.000 0.438 Th
0.333 0.667 0.107 Th
0.333 0.667 0.767 Th
```

Output
SG = P3m1 (156)
electronic total energy = -48.71 eV per formula unit
calculated formation energy = 0.74 eV/f.u.

(2)
A relaxed LiAgRu2 crystal, computed with GGA-PBE.

POSCAR file:
```
LiAgRu2
1.0
2.583 0.000 0.000
0.000 2.583 0.000
0.000 0.000 8.929
Li Ag Ru
1 1 2
direct
0.000 0.000 0.000 Li
0.000 0.000 0.500 Ag
0.500 0.500 0.240 Ru
0.500 0.500 0.760 Ru
```

Output
excess energy over the best structure of this formula in the dataset = 0.332 eV per atom
SG = P4/mmm (123)
electronic total energy = -21.29 eV per formula unit
calculated formation energy = 2.03 eV/f.u.

(3)
A relaxed InWS3 crystal, computed with GGA-PBE.

POSCAR file:
```
InWS3
1.0
4.753 0.000 0.000
0.000 4.753 0.000
0.000 0.000 4.753
In W S
1 1 3
direct
0.000 0.000 0.000 In
0.500 0.500 0.500 W
0.000 0.500 0.500 S
0.500 0.000 0.500 S
0.500 0.500 0.000 S
```

Output
excess energy over the best structure of this formula in the dataset = 0.000 eV per atom
SG = Pm-3m (221)
electronic total energy = -28.98 eV per formula unit
uncorrected formation energy = -0.904 eV per formula unit

(4)
A relaxed LiTa2Cl crystal, computed with GGA-PBE.

POSCAR file:
```
LiTa2Cl
1.0
4.689 0.000 0.000
0.000 4.689 0.000
0.000 0.000 2.855
Li Ta Cl
1 2 1
direct
0.000 0.000 0.000 Li
0.000 0.500 0.500 Ta
0.500 0.000 0.500 Ta
0.500 0.500 0.000 Cl
```

Output
excess energy over the best structure of this formula in the dataset = 0.876 eV per atom
SG = P4/mmm (123)
electronic total energy = -24.50 eV per formula unit
uncorrected formation energy = 2.968 eV per formula unit

(5)
A relaxed Zn2WCl crystal, computed with GGA-PBE.

POSCAR file:
```
Zn2WCl
1.0
1.425 -2.551 0.000
1.425 2.551 0.000
0.000 0.000 10.493
Zn W Cl
2 1 1
direct
0.000 0.000 0.000 Zn
0.500 0.500 0.220 Zn
0.500 0.500 0.780 W
0.000 0.000 0.590 Cl
```

Output
excess energy over the best structure of this formula in the dataset = 0.133 eV per atom
SG = Cmm2 (35)
electronic total energy = -16.19 eV per formula unit
uncorrected formation energy = 1.155 eV per formula unit

(6)
A relaxed ZnCo2Cl crystal, computed with GGA-PBE.

POSCAR file:
```
ZnCo2Cl
1.0
4.277 -1.430 0.000
4.277 1.430 0.000
-4.171 0.000 5.729
Zn Co Cl
1 2 1
direct
0.000 0.000 0.000 Zn
0.353 0.353 0.157 Co
0.647 0.647 0.843 Co
0.000 0.000 0.500 Cl
```

Output
excess energy over the best structure of this formula in the dataset = 0.105 eV per atom
SG = C2/m (12)
electronic total energy = -16.60 eV per formula unit
uncorrected formation energy = 0.732 eV per formula unit

(7)
A relaxed HoEr2Te crystal, computed with GGA-PBE.

POSCAR file:
```
HoEr2Te
1.0
1.877 1.084 10.800
-1.877 1.084 10.800
0.000 -2.168 10.800
Ho Er Te
1 2 1
direct
0.000 0.000 0.000 Ho
0.102 0.102 0.102 Er
0.898 0.898 0.898 Er
0.500 0.500 0.500 Te
```

Output
excess energy over the best structure of this formula in the dataset = 0.465 eV per atom
SG = R-3m (166)
electronic total energy = -17.51 eV per formula unit
uncorrected formation energy = -0.667 eV per formula unit

(8)
A relaxed Dy3Ga4Pd2 crystal, computed with GGA-PBE.

POSCAR file:
```
Dy3Ga4Pd2
1.0
5.324 -2.203 0.000
5.324 2.203 0.000
-3.430 0.000 7.772
Dy Ga Pd
3 4 2
direct
0.000 0.000 0.000 Dy
0.321 0.321 0.355 Dy
0.679 0.679 0.645 Dy
0.021 0.021 0.359 Ga
0.257 0.257 0.918 Ga
0.743 0.743 0.082 Ga
0.979 0.979 0.641 Ga
0.402 0.402 0.734 Pd
0.598 0.598 0.266 Pd
```

Output
excess energy over the best structure of this formula in the dataset = 0.000 eV per atom
SG = C2/m (12)
electronic total energy = -43.65 eV per formula unit
calculated formation energy = -7.35 eV/f.u.

(9)
A relaxed Pr4Nd2Dy2Ho crystal, computed with GGA-PBE.

POSCAR file:
```
Pr4Nd2Dy2Ho
1.0
7.759 -2.587 0.000
7.759 2.587 0.000
-2.595 0.000 7.704
Pr Nd Dy Ho
4 2 2 1
direct
0.055 0.055 0.330 Pr
0.278 0.278 0.670 Pr
0.722 0.722 0.330 Pr
0.945 0.945 0.670 Pr
0.388 0.388 0.329 Nd
0.612 0.612 0.671 Nd
0.167 0.167 0.000 Dy
0.833 0.833 0.000 Dy
0.500 0.500 0.000 Ho
```

Output
SG = C2/m (12)
electronic total energy = -42.25 eV per formula unit
calculated formation energy = 0.19 eV/f.u.

(10)
A relaxed Li2FeTc crystal, computed with GGA-PBE.

POSCAR file:
```
Li2FeTc
1.0
2.850 0.000 0.000
0.000 2.850 0.000
0.000 0.000 7.055
Li Fe Tc
2 1 1
direct
0.000 0.000 0.000 Li
0.500 0.500 0.293 Li
0.500 0.500 0.757 Fe
0.000 0.000 0.573 Tc
```

Output
excess energy over the best structure of this formula in the dataset = 0.037 eV per atom
SG = P4mm (99)
electronic total energy = -21.72 eV per formula unit
calculated formation energy = 0.94 eV/f.u.

(11)
A relaxed TaRe2Pt crystal, computed with GGA-PBE.

POSCAR file:
```
TaRe2Pt
1.0
-1.999 1.999 3.931
1.999 -1.999 3.931
1.999 1.999 -3.931
Ta Re Pt
1 2 1
direct
0.000 0.000 0.000 Ta
0.250 0.750 0.500 Re
0.500 0.500 0.000 Re
0.750 0.250 0.500 Pt
```

Output
excess energy over the best structure of this formula in the dataset = 0.033 eV per atom
SG = I-4m2 (119)
electronic total energy = -43.77 eV per formula unit
calculated formation energy = -0.98 eV/f.u.

(12)
A relaxed K4LaTb3Se8 crystal, computed with GGA-PBE.

POSCAR file:
```
K4LaTb3Se8
1.0
4.285 2.474 7.688
-4.285 2.474 7.688
0.000 -4.948 7.688
K La Tb Se
4 1 3 8
direct
0.000 0.000 0.000 K
0.000 0.500 0.500 K
0.500 0.000 0.500 K
0.500 0.500 0.000 K
0.500 0.500 0.500 La
0.000 0.000 0.500 Tb
0.000 0.500 0.000 Tb
0.500 0.000 0.000 Tb
0.227 0.741 0.741 Se
0.235 0.235 0.235 Se
0.259 0.259 0.773 Se
0.259 0.773 0.259 Se
0.741 0.227 0.741 Se
0.741 0.741 0.227 Se
0.765 0.765 0.765 Se
0.773 0.259 0.259 Se
```

Output
SG = R-3m (166)
electronic total energy = -79.54 eV per formula unit
uncorrected formation energy = -28.453 eV per formula unit

(13)
A relaxed TiCdPd3 crystal, computed with GGA-PBE.

POSCAR file:
```
TiCdPd3
1.0
7.168 -2.157 0.000
7.168 2.157 0.000
-1.839 0.000 5.305
Ti Cd Pd
2 2 6
direct
0.196 0.196 0.126 Ti
0.804 0.804 0.874 Ti
0.409 0.409 0.654 Cd
0.591 0.591 0.346 Cd
0.000 0.000 0.000 Pd
0.000 0.000 0.500 Pd
0.211 0.211 0.642 Pd
0.381 0.381 0.132 Pd
0.619 0.619 0.868 Pd
0.789 0.789 0.358 Pd
```

Output
excess energy over the best structure of this formula in the dataset = 0.000 eV per atom
SG = C2/m (12)
electronic total energy = -26.63 eV per formula unit
calculated formation energy = -2.24 eV/f.u.